Density functional theory data (PBE-GGA) for a geometry-optimized IrPdF4 structure.

Structure (POSCAR):
```
IrPdF4
1.0
-2.728 2.728 5.202
2.728 -2.728 5.202
2.728 2.728 -5.202
F Ir Pd
8 2 2
direct
0.682 0.182 0.119 F
0.937 0.437 0.119 F
0.182 0.063 0.500 F
0.437 0.318 0.500 F
0.563 0.682 0.500 F
0.818 0.937 0.500 F
0.063 0.563 0.881 F
0.318 0.818 0.881 F
0.500 0.000 0.500 Ir
0.000 0.500 0.500 Ir
0.250 0.250 0.000 Pd
0.750 0.750 0.000 Pd
```

Calculated values
* V: 154.8 Å³ per cell
* magnetic moment: 5.90 μB/cell
* final energy: -52.5 eV for the cell shown